! DySc2Si4Ni4, optimized geometry, DFT GGA-PBE; values from VASP
&SYSTEM
  ibrav = 0, nat = 11, ntyp = 4
/
ATOMIC_SPECIES
Dy 162.50 Dy.upf
Sc 44.96 Sc.upf
Si 28.09 Si.upf
Ni 58.69 Ni.upf
ATOMIC_POSITIONS crystal
Dy 0.000 0.000 0.000
Sc 0.374 0.874 0.500
Sc 0.626 0.126 0.500
Si 0.223 0.223 0.000
Si 0.317 0.500 0.817
Si 0.683 0.500 0.183
Si 0.777 0.777 0.000
Ni 0.020 0.323 0.697
Ni 0.374 0.677 0.697
Ni 0.626 0.323 0.303
Ni 0.980 0.677 0.303
CELL_PARAMETERS angstrom
-1.938 3.285 6.395
1.938 -3.285 6.395
1.938 3.285 -6.395
! * space group: No. 71
! * size of the total moment: 0.00 μB/cell
! * calculated total energy: -6.42 eV per atom

---

! Dy3Sc3NiTe2, optimized geometry, DFT GGA-PBE; values from VASP
&SYSTEM
  ibrav = 0, nat = 9, ntyp = 4
/
ATOMIC_SPECIES
Dy 162.50 Dy.upf
Sc 44.96 Sc.upf
Ni 58.69 Ni.upf
Te 127.60 Te.upf
ATOMIC_POSITIONS crystal
Dy 0.000 0.607 0.000
Dy 0.393 0.393 0.000
Dy 0.607 0.000 0.000
Sc 0.000 0.230 0.500
Sc 0.230 0.000 0.500
Sc 0.770 0.770 0.500
Ni 0.000 0.000 0.000
Te 0.333 0.667 0.500
Te 0.667 0.333 0.500
CELL_PARAMETERS angstrom
7.997 0.000 0.000
-3.998 6.926 0.000
0.000 0.000 3.929
! * space group: No. 189
! * size of the total moment: 0.78 μB/cell
! * ΔE to the lowest computed polymorph: 0 meV/atom

---

! Dy3Sc3NiTe2, optimized geometry, DFT GGA-PBE; values from VASP
&SYSTEM
  ibrav = 0, nat = 9, ntyp = 4
/
ATOMIC_SPECIES
Dy 162.50 Dy.upf
Sc 44.96 Sc.upf
Ni 58.69 Ni.upf
Te 127.60 Te.upf
ATOMIC_POSITIONS crystal
Dy 0.000 0.244 0.000
Dy 0.244 0.000 0.000
Dy 0.756 0.756 0.000
Sc 0.000 0.597 0.500
Sc 0.403 0.403 0.500
Sc 0.597 0.000 0.500
Ni 0.000 0.000 0.500
Te 0.333 0.667 0.000
Te 0.667 0.333 0.000
CELL_PARAMETERS angstrom
8.186 0.000 0.000
-4.093 7.090 0.000
0.000 0.000 3.750
! * space group: No. 189
! * size of the total moment: 0.15 μB/cell
! * ΔE to the lowest computed polymorph: 103 meV/atom

---

! DyScZnNi2, optimized geometry, DFT GGA-PBE; values from VASP
&SYSTEM
  ibrav = 0, nat = 5, ntyp = 4
/
ATOMIC_SPECIES
Dy 162.50 Dy.upf
Sc 44.96 Sc.upf
Zn 65.41 Zn.upf
Ni 58.69 Ni.upf
ATOMIC_POSITIONS crystal
Dy 0.000 0.000 0.000
Sc 0.408 0.408 0.000
Zn 0.703 0.203 0.500
Ni 0.432 0.703 0.729
Ni 0.973 0.703 0.271
CELL_PARAMETERS angstrom
-2.094 2.636 3.888
2.094 -2.636 3.888
2.094 2.636 -3.888
! * space group: No. 44
! * size of the total moment: 0.00 μB/cell
! * calculated formation energy: -480 meV per atom

---

! Dy7Ni2Se2, optimized geometry, DFT GGA-PBE; values from VASP
&SYSTEM
  ibrav = 0, nat = 11, ntyp = 3
/
ATOMIC_SPECIES
Dy 162.50 Dy.upf
Ni 58.69 Ni.upf
Se 78.96 Se.upf
ATOMIC_POSITIONS crystal
Dy 0.000 0.000 0.000
Dy 0.285 0.409 0.876
Dy 0.298 0.613 0.685
Dy 0.533 0.409 0.124
Dy 0.618 0.257 0.361
Dy 0.897 0.257 0.639
Dy 0.928 0.613 0.315
Ni 0.158 0.918 0.240
Ni 0.679 0.918 0.760
Se 0.254 0.754 0.500
Se 0.660 0.660 0.000
CELL_PARAMETERS angstrom
-1.897 7.588 4.665
1.897 -7.588 4.665
1.897 7.588 -4.665
! * space group: No. 44
! * size of the total moment: 0.03 μB/cell
! * calculated total energy: -5.38 eV per atom

---

! Dy3Y2Tm2Ni2Se2, optimized geometry, DFT GGA-PBE; values from VASP
&SYSTEM
  ibrav = 0, nat = 11, ntyp = 5
/
ATOMIC_SPECIES
Dy 162.50 Dy.upf
Y 88.91 Y.upf
Tm 168.93 Tm.upf
Ni 58.69 Ni.upf
Se 78.96 Se.upf
ATOMIC_POSITIONS crystal
Dy 0.000 0.000 0.000
Dy 0.286 0.411 0.875
Dy 0.536 0.411 0.125
Y 0.617 0.257 0.360
Y 0.897 0.257 0.640
Tm 0.299 0.615 0.684
Tm 0.931 0.615 0.316
Ni 0.164 0.925 0.239
Ni 0.685 0.925 0.761
Se 0.254 0.754 0.500
Se 0.661 0.661 0.000
CELL_PARAMETERS angstrom
-1.899 7.548 4.641
1.899 -7.548 4.641
1.899 7.548 -4.641
! * space group: No. 44
! * size of the total moment: 0.01 μB/cell
! * calculated total energy: -5.71 eV per atom

---

! Dy2YTm4Ni2Se2, optimized geometry, DFT GGA-PBE; values from VASP
&SYSTEM
  ibrav = 0, nat = 11, ntyp = 5
/
ATOMIC_SPECIES
Dy 162.50 Dy.upf
Y 88.91 Y.upf
Tm 168.93 Tm.upf
Ni 58.69 Ni.upf
Se 78.96 Se.upf
ATOMIC_POSITIONS crystal
Dy 0.142 0.000 0.142
Dy 0.858 0.000 0.858
Y 0.241 0.741 0.500
Tm 0.176 0.359 0.817
Tm 0.528 0.154 0.374
Tm 0.542 0.359 0.183
Tm 0.780 0.154 0.626
Ni 0.406 0.666 0.740
Ni 0.926 0.666 0.260
Se 0.501 0.501 0.000
Se 0.899 0.399 0.500
CELL_PARAMETERS angstrom
-1.892 7.503 4.622
1.892 -7.503 4.622
1.892 7.503 -4.622
! * space group: No. 44
! * size of the total moment: 0.00 μB/cell
! * calculated total energy: -5.52 eV per atom

---

! Dy2Y3Tm2Ni2Se2, optimized geometry, DFT GGA-PBE; values from VASP
&SYSTEM
  ibrav = 0, nat = 11, ntyp = 5
/
ATOMIC_SPECIES
Dy 162.50 Dy.upf
Y 88.91 Y.upf
Tm 168.93 Tm.upf
Ni 58.69 Ni.upf
Se 78.96 Se.upf
ATOMIC_POSITIONS crystal
Dy 0.125 0.000 0.125
Dy 0.875 0.000 0.875
Y 0.206 0.846 0.360
Y 0.487 0.846 0.640
Y 0.589 0.589 0.000
Tm 0.520 0.204 0.316
Tm 0.888 0.204 0.684
Ni 0.274 0.513 0.761
Ni 0.753 0.513 0.239
Se 0.249 0.249 0.000
Se 0.844 0.344 0.500
CELL_PARAMETERS angstrom
-1.897 7.530 4.638
1.897 -7.530 4.638
1.897 7.530 -4.638
! * space group: No. 44
! * size of the total moment: 0.01 μB/cell
! * calculated total energy: -5.88 eV per atom

---

! Dy4Y3Ni2Se2, optimized geometry, DFT GGA-PBE; values from VASP
&SYSTEM
  ibrav = 0, nat = 11, ntyp = 4
/
ATOMIC_SPECIES
Dy 162.50 Dy.upf
Y 88.91 Y.upf
Ni 58.69 Ni.upf
Se 78.96 Se.upf
ATOMIC_POSITIONS crystal
Dy 0.124 0.000 0.124
Dy 0.519 0.204 0.314
Dy 0.876 0.000 0.876
Dy 0.890 0.204 0.686
Y 0.208 0.847 0.361
Y 0.486 0.847 0.639
Y 0.593 0.593 0.000
Ni 0.272 0.512 0.760
Ni 0.752 0.512 0.240
Se 0.250 0.250 0.000
Se 0.846 0.346 0.500
CELL_PARAMETERS angstrom
-1.905 7.594 4.663
1.905 -7.594 4.663
1.905 7.594 -4.663
! * space group: No. 44
! * size of the total moment: 0.01 μB/cell
! * calculated total energy: -5.90 eV per atom

---

! Dy6YNi2Se2, optimized geometry, DFT GGA-PBE; values from VASP
&SYSTEM
  ibrav = 0, nat = 11, ntyp = 4
/
ATOMIC_SPECIES
Dy 162.50 Dy.upf
Y 88.91 Y.upf
Ni 58.69 Ni.upf
Se 78.96 Se.upf
ATOMIC_POSITIONS crystal
Dy 0.124 0.000 0.124
Dy 0.205 0.846 0.359
Dy 0.486 0.846 0.641
Dy 0.520 0.203 0.317
Dy 0.876 0.000 0.876
Dy 0.886 0.203 0.683
Y 0.586 0.586 0.000
Ni 0.271 0.510 0.761
Ni 0.748 0.510 0.239
Se 0.248 0.248 0.000
Se 0.844 0.344 0.500
CELL_PARAMETERS angstrom
-1.896 7.562 4.663
1.896 -7.562 4.663
1.896 7.562 -4.663
! * space group: No. 44
! * size of the total moment: 0.01 μB/cell
! * calculated total energy: -5.55 eV per atom

---

! Dy3Y4Ni2Se2, optimized geometry, DFT GGA-PBE; values from VASP
&SYSTEM
  ibrav = 0, nat = 11, ntyp = 4
/
ATOMIC_SPECIES
Dy 162.50 Dy.upf
Y 88.91 Y.upf
Ni 58.69 Ni.upf
Se 78.96 Se.upf
ATOMIC_POSITIONS crystal
Dy 0.000 0.000 0.000
Dy 0.298 0.613 0.685
Dy 0.929 0.613 0.315
Y 0.286 0.410 0.877
Y 0.533 0.410 0.123
Y 0.618 0.257 0.361
Y 0.896 0.257 0.639
Ni 0.161 0.922 0.239
Ni 0.683 0.922 0.761
Se 0.255 0.755 0.500
Se 0.660 0.660 0.000
CELL_PARAMETERS angstrom
-1.905 7.583 4.670
1.905 -7.583 4.670
1.905 7.583 -4.670
! * space group: No. 44
! * size of the total moment: 0.02 μB/cell
! * calculated total energy: -6.06 eV per atom

---

! Dy2Y5Ni2Se2, optimized geometry, DFT GGA-PBE; values from VASP
&SYSTEM
  ibrav = 0, nat = 11, ntyp = 4
/
ATOMIC_SPECIES
Dy 162.50 Dy.upf
Y 88.91 Y.upf
Ni 58.69 Ni.upf
Se 78.96 Se.upf
ATOMIC_POSITIONS crystal
Dy 0.185 0.000 0.185
Dy 0.815 0.000 0.815
Y 0.172 0.796 0.377
Y 0.419 0.796 0.623
Y 0.504 0.643 0.861
Y 0.781 0.643 0.139
Y 0.887 0.387 0.500
Ni 0.047 0.308 0.739
Ni 0.569 0.308 0.261
Se 0.141 0.141 0.000
Se 0.545 0.045 0.500
CELL_PARAMETERS angstrom
-1.913 7.597 4.684
1.913 -7.597 4.684
1.913 7.597 -4.684
! * space group: No. 44
! * size of the total moment: 0.02 μB/cell
! * calculated total energy: -6.24 eV per atom

---

- Look up the size of the total moment of the ninth one.
  0.01 μB/cell

---

- What is the size of the total moment in the seventh record?
  0.00 μB/cell

---

- What is the size of the total moment in the third record?
  0.15 μB/cell

---

- The highest size of the total moment belongs to which entry?
  number 2